[1]
A geometry-optimized AcPmSeO2 structure. Source: Alexandria via LeMat-Bulk, functional GGA-PBE.

Values from the calculation:
ΔE_f (raw): -3.006 eV/atom
total DFT energy (no corrections): -7.46 eV per atom
density: 7.56 Mg/m³

Unit cell a=4.0495 b=4.0495 c=12.9432 alpha=90.00 beta=90.00 gamma=90.00
Space group I4mm (No. 107)
Inequivalent atoms, fractional coordinates:
Ac 0.0000 0.0000 0.0000 [2 per cell]
Pm 0.0000 0.0000 0.3061 [2 per cell]
Se 0.0000 0.0000 0.6534 [2 per cell]
O 0.0000 0.5000 0.3942 [4 per cell]

[2]
A geometry-optimized SrCuCl5 structure. Source: Alexandria via LeMat-Bulk, functional GGA-PBE.

Values from the calculation:
ΔE_f (raw): -1.141 eV/atom
total DFT energy (no corrections): -3.28 eV per atom
density: 2.90 Mg/m³

Unit cell a=10.8107 b=7.4190 c=10.3745 alpha=90.00 beta=115.25 gamma=90.00
Space group C2/c (No. 15)
Inequivalent atoms, fractional coordinates:
Sr 0.0000 0.0683 0.2500 [4 per cell]
Cu 0.0000 0.5000 0.0000 [4 per cell]
Cl 0.0000 0.4583 0.2500 [4 per cell]
Cl 0.0586 0.1995 0.5436 [8 per cell]
Cl 0.2226 0.4212 0.1004 [8 per cell]

[3]
A geometry-optimized MgMnZn structure. Source: Alexandria via LeMat-Bulk, functional GGA-PBE.

Values from the calculation:
total DFT energy (no corrections): -3.66 eV per atom
E_form: 103 kJ/mol of formula units
density: 4.25 Mg/m³

Unit cell a=6.0935 b=6.0935 c=6.0935 alpha=90.00 beta=90.00 gamma=90.00
Space group F-43m (No. 216)
Inequivalent atoms, fractional coordinates:
Mg 0.0000 0.0000 0.0000 [4 per cell]
Mn 0.0000 0.0000 0.5000 [4 per cell]
Zn 0.2500 0.2500 0.7500 [4 per cell]

[4]
A geometry-optimized ZnBiHRh2 structure. Source: Alexandria via LeMat-Bulk, functional GGA-PBE.

Values from the calculation:
total DFT energy (no corrections): -4.63 eV per atom
density: 11.38 Mg/m³

Unit cell a=4.1861 b=4.1861 c=4.0065 alpha=90.00 beta=90.00 gamma=90.00
Space group P4/mmm (No. 123)
Inequivalent atoms, fractional coordinates:
Zn 0.0000 0.0000 0.0000 [1 per cell]
Bi 0.5000 0.5000 0.0000 [1 per cell]
H 0.0000 0.0000 0.5000 [1 per cell]
Rh 0.0000 0.5000 0.5000 [2 per cell]

[5]
A geometry-optimized HoZrOsRu structure. Source: Alexandria via LeMat-Bulk, functional GGA-PBE.

Values from the calculation:
polymorph energy (0 for the lowest one): 0 meV per atom
total DFT energy (no corrections): -8.85 eV per atom
E_form: -170 kJ/mol of formula units
density: 12.26 Mg/m³

Unit cell a=3.3206 b=3.3206 c=6.7265 alpha=90.00 beta=90.00 gamma=90.00
Space group P4mm (No. 99)
Inequivalent atoms, fractional coordinates:
Ho 0.0000 0.0000 0.0000 [1 per cell]
Zr 0.0000 0.0000 0.5003 [1 per cell]
Os 0.5000 0.5000 0.7332 [1 per cell]
Ru 0.5000 0.5000 0.2643 [1 per cell]

[6]
A geometry-optimized PrNdSm4 structure. Source: Alexandria via LeMat-Bulk, functional GGA-PBE.

Values from the calculation:
polymorph energy (0 for the lowest one): 246 meV per atom
total DFT energy (no corrections): -4.48 eV per atom
E_form: 150 kJ/mol of formula units
density: 6.89 Mg/m³

Unit cell a=9.4899 b=9.4899 c=9.4899 alpha=90.00 beta=90.00 gamma=90.00
Space group F-43m (No. 216)
Inequivalent atoms, fractional coordinates:
Pr 0.0000 0.0000 0.0000 [4 per cell]
Nd 0.2500 0.2500 0.7500 [4 per cell]
Sm 0.1249 0.1249 0.3751 [16 per cell]

[7]
A geometry-optimized YCuPbSe3 structure. Source: Alexandria via LeMat-Bulk, functional GGA-PBE.

Values from the calculation:
ΔE_f (raw): -1.007 eV/atom
total DFT energy (no corrections): -5.13 eV per atom
density: 6.43 Mg/m³

Unit cell a=8.5996 b=4.0735 c=9.0609 alpha=90.00 beta=103.96 gamma=90.00
Space group P2_1/m (No. 11)
Inequivalent atoms, fractional coordinates:
Y 0.1745 0.2500 0.1677 [2 per cell]
Cu 0.4216 0.7500 0.4194 [2 per cell]
Pb 0.3129 0.7500 0.7602 [2 per cell]
Se 0.0636 0.2500 0.8368 [2 per cell]
Se 0.2766 0.2500 0.4893 [2 per cell]
Se 0.3993 0.7500 0.1370 [2 per cell]

[8]
A geometry-optimized Tb4TmSc5 structure. Source: Alexandria via LeMat-Bulk, functional GGA-PBE.

Values from the calculation:
polymorph energy (0 for the lowest one): 0 meV per atom
total DFT energy (no corrections): -5.23 eV per atom
E_form: 227 kJ/mol of formula units
density: 5.89 Mg/m³

Unit cell a=10.1940 b=10.1940 c=5.5824 alpha=90.00 beta=90.00 gamma=90.00
Space group I4mm (No. 107)
Inequivalent atoms, fractional coordinates:
Tb 0.0000 0.3202 0.0000 [8 per cell]
Tm 0.0000 0.0000 0.7531 [2 per cell]
Sc 0.0000 0.0000 0.2357 [2 per cell]
Sc 0.1896 0.1896 0.4823 [8 per cell]

[9]
A geometry-optimized CrSnSe2 structure. Source: Alexandria via LeMat-Bulk, functional GGA-PBE.

Values from the calculation:
ΔE_f (raw): -0.276 eV/atom
total DFT energy (no corrections): -5.42 eV per atom
density: 5.07 Mg/m³

Unit cell a=11.8638 b=8.9070 c=4.0904 alpha=90.00 beta=95.61 gamma=90.00
Space group C2 (No. 5)
Inequivalent atoms, fractional coordinates:
Cr 0.0510 0.0000 0.3315 [4 per cell]
Sn 0.2494 0.2597 0.9922 [4 per cell]
Se 0.0000 0.2148 0.0000 [2 per cell]
Se 0.0000 0.7861 0.0000 [2 per cell]
Se 0.2485 0.4914 0.4896 [4 per cell]

[10]
A geometry-optimized In2CuHgRh structure. Source: Alexandria via LeMat-Bulk, functional GGA-PBE.

Values from the calculation:
total DFT energy (no corrections): -3.12 eV per atom
E_form: 158 kJ/mol of formula units
density: 7.26 Mg/m³

Unit cell a=5.1030 b=5.1030 c=5.2440 alpha=90.00 beta=90.00 gamma=90.00
Space group P4/mmm (No. 123)
Inequivalent atoms, fractional coordinates:
In 0.0000 0.5000 0.0000 [2 per cell]
Cu 0.0000 0.0000 0.5000 [1 per cell]
Hg 0.5000 0.5000 0.5000 [1 per cell]
Rh 0.5000 0.5000 0.0000 [1 per cell]

[11]
A geometry-optimized Tb3PmSm4Te8 structure. Source: Alexandria via LeMat-Bulk, functional GGA-PBE.

Values from the calculation:
ΔE_f (raw): -1.354 eV/atom
total DFT energy (no corrections): -5.27 eV per atom
density: 7.62 Mg/m³

Unit cell a=8.8371 b=8.8371 c=21.6835 alpha=90.00 beta=90.00 gamma=120.00
Space group R-3m (No. 166, hexagonal axes)
Inequivalent atoms, fractional coordinates:
Tb 0.0000 0.5000 0.0000 [9 per cell]
Pm 0.0000 0.0000 0.0000 [3 per cell]
Sm 0.0000 0.0000 0.5000 [3 per cell]
Sm 0.0000 0.5000 0.5000 [9 per cell]
Te 0.0000 0.0000 0.2521 [6 per cell]
Te 0.0036 0.5018 0.2512 [18 per cell]

[12]
A geometry-optimized AcNd6Y5 structure. Source: Alexandria via LeMat-Bulk, functional GGA-PBE.

Values from the calculation:
polymorph energy (0 for the lowest one): 3 meV per atom
total DFT energy (no corrections): -5.40 eV per atom
E_form: 28 kJ/mol of formula units
density: 6.14 Mg/m³

Unit cell a=12.1176 b=11.0017 c=6.3361 alpha=90.00 beta=100.18 gamma=90.00
Space group C2/m (No. 12)
Inequivalent atoms, fractional coordinates:
Ac 0.0000 0.0000 0.0000 [2 per cell]
Nd 0.2472 0.3322 0.7502 [8 per cell]
Nd 0.2478 0.5000 0.2541 [4 per cell]
Y 0.0000 0.1709 0.5000 [4 per cell]
Y 0.0000 0.3360 0.0000 [4 per cell]
Y 0.0000 0.5000 0.5000 [2 per cell]